(1)
VASP calculation (PBE-GGA) on a relaxed structure of Np2PaCr2C4.

Results
- crystal system = monoclinic
- total DFT energy (no corrections) (eV/atom) = -10.183
- calculated volume (Å³ per atom) = 12.69
- DFT formation energy (meV per atom) = -14
- space-group type = No. 12

a = 7.128 Å, b = 7.128 Å, c = 5.536 Å
α = 111.28°, β = 111.28°, γ = 25.95°
Fractional positions:
Np 0.136 0.136 0.013
Np 0.864 0.864 0.987
Pa 0.000 0.000 0.500
Cr 0.323 0.323 0.514
Cr 0.677 0.677 0.486
C 0.232 0.232 0.724
C 0.479 0.479 0.852
C 0.521 0.521 0.148
C 0.768 0.768 0.276


(2)
VASP calculation (PBE-GGA) on a relaxed structure of Sm5YN6.

Results
- crystal system = monoclinic
- total DFT energy (no corrections) (eV/atom) = -8.181
- energy relative to the elements, uncorrected (eV/atom) = -1.513
- calculated volume (Å³ per atom) = 16.09
- space-group type = No. 12

a = 6.184 Å, b = 6.184 Å, c = 6.183 Å
α = 99.59°, β = 99.59°, γ = 120.00°
Fractional positions:
Sm 0.000 0.000 0.000
Sm 0.167 0.833 0.500
Sm 0.334 0.666 0.000
Sm 0.666 0.334 0.000
Sm 0.833 0.167 0.500
Y 0.500 0.500 0.500
N 0.088 0.417 0.252
N 0.253 0.253 0.748
N 0.417 0.088 0.252
N 0.583 0.912 0.748
N 0.747 0.747 0.252
N 0.912 0.583 0.748